The following is a DFT calculation (PBE) of Ti7CdSn3 after structural relaxation.

Lattice parameters (Å, degrees): 7.120 7.120 7.120 137.87 106.27 88.75
Sites, in units of the cell vectors:
Ti 0.000 0.000 0.000
Ti 0.087 0.759 0.329
Ti 0.322 0.500 0.822
Ti 0.430 0.759 0.671
Ti 0.570 0.241 0.329
Ti 0.678 0.500 0.178
Ti 0.913 0.241 0.671
Cd 0.000 0.500 0.500
Sn 0.267 0.267 0.000
Sn 0.500 0.000 0.500
Sn 0.733 0.733 0.000

Properties
Symmetry ... Immm
Total moment ... 4.264 Bohr magnetons per cell
Calculated total energy ... -67.13 eV/cell

The following is a DFT calculation (PBE) of TiCd2Sn2 after structural relaxation.

Lattice parameters (Å, degrees): 7.652 7.652 4.059 90.00 90.00 90.00
Sites, in units of the cell vectors:
Ti 0.000 0.000 0.000
Ti 0.500 0.500 0.000
Cd 0.132 0.368 0.000
Cd 0.368 0.868 0.000
Cd 0.632 0.132 0.000
Cd 0.868 0.632 0.000
Sn 0.174 0.674 0.500
Sn 0.326 0.174 0.500
Sn 0.674 0.826 0.500
Sn 0.826 0.326 0.500

Properties
Symmetry ... P4/mbm
Total moment ... 2.867 Bohr magnetons per cell
Calculated total energy ... -32.87 eV/cell
ΔE to the lowest computed polymorph ... 0.086 eV per atom

The following is a DFT calculation (PBE) of Ti2Cd2Sn after structural relaxation.

Lattice parameters (Å, degrees): 7.954 7.954 3.238 90.00 90.00 90.00
Sites, in units of the cell vectors:
Ti 0.173 0.327 0.000
Ti 0.327 0.827 0.000
Ti 0.673 0.173 0.000
Ti 0.827 0.673 0.000
Cd 0.126 0.626 0.500
Cd 0.374 0.126 0.500
Cd 0.626 0.874 0.500
Cd 0.874 0.374 0.500
Sn 0.000 0.000 0.500
Sn 0.500 0.500 0.500

Properties
Symmetry ... P4/mbm
Total moment ... 1.647 Bohr magnetons per cell
Calculated total energy ... -41.05 eV/cell

The following is a DFT calculation (PBE) of Ti2CdSn after structural relaxation.

Lattice parameters (Å, degrees): 4.232 4.232 4.221 90.00 90.00 90.00
Sites, in units of the cell vectors:
Ti 0.000 0.500 0.000
Ti 0.500 0.000 0.000
Cd 0.000 0.000 0.500
Sn 0.500 0.500 0.500

Properties
Symmetry ... P4/mmm
Total moment ... 0.000 Bohr magnetons per cell
Calculated total energy ... -21.36 eV/cell

Sequential calculated formation energy output: 9.3; 25.0; 21.2; -15.7 kJ/mol of atoms